Record 1
## AlVNF2 (PBE with a Hubbard U)

Data for a geometry-optimized AlVNF2 structure.

Cell and atoms, written as CIF:
```
data_AlVNF2
_chemical_formula_sum 'Al1 V1 N1 F2'
_space_group_name_H-M_alt 'P 1'
_space_group_IT_number 1
_cell_length_a 4.092
_cell_length_b 4.092
_cell_length_c 3.890
_cell_angle_alpha 90.00
_cell_angle_beta 90.00
_cell_angle_gamma 90.00
loop_
_space_group_symop_operation_xyz
'x,y,z'
loop_
_atom_site_label
_atom_site_type_symbol
_atom_site_fract_x
_atom_site_fract_y
_atom_site_fract_z
_atom_site_occupancy
F1 F 0.000 0.500 0.000 1
Al1 Al 0.500 0.500 0.500 1
F2 F 0.500 0.000 0.000 1
N1 N 0.000 0.000 0.500 1
V1 V 0.000 0.000 0.000 1
```

D(E_F) = 0.322 states/eV per atom
Energy = -28.4 eV for the cell shown



Record 2
## AlVN2F (PBE with a Hubbard U)

Data for a geometry-optimized AlVN2F structure.

Cell and atoms, written as CIF:
```
data_AlVN2F
_chemical_formula_sum 'Al1 V1 N2 F1'
_space_group_name_H-M_alt 'P 1'
_space_group_IT_number 1
_cell_length_a 3.891
_cell_length_b 3.891
_cell_length_c 3.833
_cell_angle_alpha 90.00
_cell_angle_beta 90.00
_cell_angle_gamma 90.00
loop_
_space_group_symop_operation_xyz
'x,y,z'
loop_
_atom_site_label
_atom_site_type_symbol
_atom_site_fract_x
_atom_site_fract_y
_atom_site_fract_z
_atom_site_occupancy
F1 F 0.000 0.000 0.500 1
N1 N 0.000 0.500 0.000 1
Al1 Al 0.500 0.500 0.500 1
N2 N 0.500 0.000 0.000 1
V1 V 0.000 0.000 0.000 1
```

D(E_F) = 0.445 states/eV per atom
Energy = -30.2 eV for the cell shown



no.,theoretical density (g cm⁻³)
1,3.31
2,3.58